Entry from Alexandria via LeMat-Bulk: crystalline TaZn2WO6 at its relaxed geometry (GGA+U).

a = 5.7622 Å, b = 5.3412 Å, c = 9.6289 Å
α = 56.18°, β = 90.00°, γ = 90.00°
Last column: nearest neighbours and their distance in Å.
Element x y z (fractional)
Zn 0.4123 0.7658 0.7526  3 O 1.93-1.97
O 0.3183 0.7339 0.5685  1 Zn 1.95, 1 Ta 2.00
Zn 0.0877 0.7658 0.2526  3 O 1.93-1.97
O 0.1817 0.7339 0.0685  1 Zn 1.95, 1 Ta 2.00
O 0.4950 0.8750 0.2602  1 Zn 1.93, 1 Ta 2.05
O 0.5050 0.1250 0.7398  1 Zn 1.93, 1 Ta 2.05
Zn 0.5877 0.2342 0.2474  3 O 1.93-1.97
O 0.0050 0.8750 0.7602  1 Zn 1.93, 1 Ta 2.05
O 0.7035 0.6187 0.0537  1 Zn 1.97, 1 Ta 1.99, 1 W 2.15
Zn 0.9123 0.2342 0.7474  3 O 1.93-1.97
Ta 0.0000 0.5000 0.0000  6 O 1.99-2.05
W 0.0000 0.0000 0.5000  6 O 2.15-2.20
O 0.2035 0.3813 0.4463  1 Zn 1.97, 1 Ta 1.99, 1 W 2.15
W 0.5000 0.0000 0.0000  6 O 2.15-2.20
O 0.7965 0.6187 0.5537  1 Zn 1.97, 1 Ta 1.99, 1 W 2.15
O 0.2965 0.3813 0.9463  1 Zn 1.97, 1 Ta 1.99, 1 W 2.15
Ta 0.5000 0.5000 0.5000  6 O 1.99-2.05
O 0.8183 0.2661 0.9315  1 Zn 1.95, 1 Ta 2.00
O 0.6817 0.2661 0.4315  1 Zn 1.95, 1 Ta 2.00
O 0.9950 0.1250 0.2398  1 Zn 1.93, 1 Ta 2.05

Computed properties:
Its size of the total moment is 6.00 μB per cell. The density comes out at 7.980 g/cm³. The uncorrected energy comes out at -7.06 eV per atom. As for the symmetry: P2_1/c (14). The calculation puts the calculated volume at 12.31 Å³ per atom.